Here is crystalline CuH at its relaxed geometry from Alexandria via LeMat-Bulk. Energies are from PBE.

Cell lengths 2.967, 5.054, 4.710 Å; angles 90.00, 90.00, 90.00 degrees
Atoms (fractional coordinates):
1 Cu 0.250 0.309 0.601
2 Cu 0.750 0.191 0.101
3 Cu 0.750 0.691 0.399
4 Cu 0.250 0.809 0.899
5 H 0.250 0.177 0.919
6 H 0.750 0.323 0.419
7 H 0.750 0.823 0.081
8 H 0.250 0.677 0.581

Calculated total energy, eV for the cell shown: -28.6



Here is crystalline CsK5Rb11 at its relaxed geometry from Alexandria via LeMat-Bulk. Energies are from PBE.

Cell lengths 9.051, 12.892, 12.892 Å; angles 90.43, 85.94, 85.94 degrees
Atoms (fractional coordinates):
1 Cs 0.000 0.000 0.000
2 K 0.642 0.027 0.340
3 K 0.358 0.973 0.660
4 K 0.358 0.660 0.973
5 K 0.642 0.340 0.027
6 K 0.000 0.500 0.500
7 Rb 0.462 0.626 0.626
8 Rb 0.538 0.374 0.374
9 Rb 0.757 0.226 0.686
10 Rb 0.243 0.774 0.314
11 Rb 0.243 0.314 0.774
12 Rb 0.757 0.686 0.226
13 Rb 0.500 0.000 0.000
14 Rb 0.881 0.860 0.610
15 Rb 0.119 0.140 0.390
16 Rb 0.119 0.390 0.140
17 Rb 0.881 0.610 0.860

Calculated total energy, eV for the cell shown: -16.5
Fermi-level density of states, states/eV/f.u.: 15.8
Energy relative to the elements, eV/atom: 0.026



Here is crystalline Li6TlBi at its relaxed geometry from Alexandria via LeMat-Bulk. Energies are from PBE.

Cell lengths 4.800, 6.129, 6.129 Å; angles 119.95, 90.00, 90.00 degrees
Atoms (fractional coordinates):
1 Li 0.000 0.094 0.422
2 Li 0.000 0.578 0.906
3 Li 0.000 0.579 0.421
4 Li 0.500 0.408 0.079
5 Li 0.500 0.921 0.592
6 Li 0.500 0.920 0.080
7 Tl 0.000 0.083 0.917
8 Bi 0.500 0.417 0.583

Calculated total energy, eV for the cell shown: -20.2
Fermi-level density of states, states/eV/f.u.: 2.4
Energy relative to the elements, eV/atom: -0.307



Here is crystalline Sr2HgAs at its relaxed geometry from Alexandria via LeMat-Bulk. Energies are from PBE.

Cell lengths 6.684, 6.684, 6.684 Å; angles 139.92, 139.92, 57.98 degrees
Atoms (fractional coordinates):
1 Sr 0.000 0.000 0.000
2 Sr 0.250 0.750 0.500
3 As 0.500 0.500 0.000
4 Hg 0.750 0.250 0.500

Calculated total energy, eV for the cell shown: -10.8
Polymorph energy (0 for the lowest one), meV/atom: 215
Fermi-level density of states, states/eV/f.u.: 2.4
Energy relative to the elements, eV/atom: -0.612



Here is crystalline GaRhI2 at its relaxed geometry from Alexandria via LeMat-Bulk. Energies are from PBE.

Cell lengths 6.752, 6.752, 8.012 Å; angles 65.08, 65.08, 90.00 degrees
Atoms (fractional coordinates):
1 I 0.695 0.125 0.250
2 I 0.055 0.625 0.250
3 I 0.375 0.305 0.750
4 I 0.875 0.945 0.750
5 Rh 0.000 0.000 0.000
6 Rh 0.750 0.250 0.500
7 Ga 0.500 0.500 0.000
8 Ga 0.250 0.750 0.500

Uncorrected formation energy, eV per atom: 0.186
Calculated total energy, eV for the cell shown: -25.5
Polymorph energy (0 for the lowest one), meV/atom: 0
Fermi-level density of states, states/eV/f.u.: 4.3



Here is crystalline CoSb3Pt12 at its relaxed geometry from Alexandria via LeMat-Bulk. Energies are from PBE.

Cell lengths 4.017, 4.017, 16.374 Å; angles 90.00, 90.00, 90.00 degrees
Each line ends with the local moment (μB).
Atoms (fractional coordinates):
1 Co 0.000 0.000 0.000  -2.02
2 Sb 0.000 0.000 0.233  0.02
3 Sb 0.000 0.000 0.500  0.01
4 Sb 0.000 0.000 0.767  0.02
5 Pt 0.500 0.500 0.000  -0.25
6 Pt 0.500 0.500 0.252  0.03
7 Pt 0.500 0.500 0.500  0.02
8 Pt 0.500 0.500 0.748  0.03
9 Pt 0.500 0.000 0.115  -0.12
10 Pt 0.500 0.000 0.375  0.03
11 Pt 0.500 0.000 0.625  0.03
12 Pt 0.500 0.000 0.885  -0.12
13 Pt 0.000 0.500 0.115  -0.12
14 Pt 0.000 0.500 0.375  0.03
15 Pt 0.000 0.500 0.625  0.03
16 Pt 0.000 0.500 0.885  -0.12

Uncorrected formation energy, eV per atom: -0.142
Calculated total energy, eV for the cell shown: -94.2
Fermi-level density of states, states/eV/f.u.: 12.7



Here is crystalline Fe2SnP at its relaxed geometry from Alexandria via LeMat-Bulk. Energies are from PBE.

Cell lengths 6.601, 6.601, 5.408 Å; angles 52.39, 52.39, 90.00 degrees
Each line ends with the local moment (μB).
Atoms (fractional coordinates):
1 P 0.500 0.500 0.000  -0.04
2 P 0.250 0.750 0.500  -0.04
3 Sn 0.000 0.000 0.000  -0.03
4 Sn 0.750 0.250 0.500  -0.03
5 Fe 0.545 0.125 0.250  0.56
6 Fe 0.205 0.625 0.250  0.56
7 Fe 0.375 0.455 0.750  0.56
8 Fe 0.875 0.795 0.750  0.56

Calculated total energy, eV for the cell shown: -51.3
Polymorph energy (0 for the lowest one), meV/atom: 0
Fermi-level density of states, states/eV/f.u.: 4.4
Energy relative to the elements, eV/atom: 0.172



Here is crystalline MnNiPdRu at its relaxed geometry from Alexandria via LeMat-Bulk. Energies are from PBE.

Cell lengths 4.244, 4.244, 4.244 Å; angles 60.00, 60.00, 60.00 degrees
Each line ends with the local moment (μB).
Atoms (fractional coordinates):
1 Ru 0.250 0.250 0.250  -1.05
2 Mn 0.500 0.500 0.500  3.22
3 Pd 0.750 0.750 0.750  0.01
4 Ni 0.000 0.000 0.000  -0.82

Calculated total energy, eV for the cell shown: -29.0
Fermi-level density of states, states/eV/f.u.: 5.2
Energy relative to the elements, eV/atom: 0.104



- Number 7 is which compound?
  Fe2SnP



- Look up the calculated total energy of the eighth one.
  -29.0 eV for the cell shown



- The lowest calculated total energy belongs to which entry?
  CoSb3Pt12



- Look up the calculated total energy of the third one.
  -20.2 eV for the cell shown